# 1
The following is a PBE-GGA calculation of a relaxed structure of TbNd6Sm2, from Alexandria via LeMat-Bulk.

Cell: 3.6715 10.1566 10.1566 Å, 55.86 90.00 90.00°
With the nearest neighbours (Å) after each atom.
Sites, in units of the cell vectors:
Tb (0.0000, 0.0000, 0.0000)  4 Nd 3.53, 2 Tb 3.67, 4 Sm 3.68
Nd (0.0000, 0.5112, 0.1603)  6 Nd 3.34-3.67, 2 Sm 3.60
Nd (0.0000, 0.8397, 0.4888)  6 Nd 3.34-3.67, 2 Sm 3.60
Nd (0.0000, 0.4888, 0.8397)  6 Nd 3.34-3.67, 2 Sm 3.60
Nd (0.5000, 0.6835, 0.3165)  7 Nd 3.47-3.67, 2 Tb 3.53
Nd (0.0000, 0.1603, 0.5112)  6 Nd 3.34-3.67, 2 Sm 3.60
Nd (0.5000, 0.3165, 0.6835)  7 Nd 3.47-3.67, 2 Tb 3.53
Sm (0.5000, 0.1776, 0.1776)  8 Nd 3.60-3.77, 2 Sm 3.67, 2 Tb 3.68
Sm (0.5000, 0.8224, 0.8224)  8 Nd 3.60-3.77, 2 Sm 3.67, 2 Tb 3.68

Summary:
Symmetry: Cmmm (65)
E above lowest polymorph (meV per atom): 49
Energy of formation from the pure elements (eV per atom): 0.1290

# 2
The following is a PBE-GGA calculation of a relaxed structure of RbNdSiSe4, from Alexandria via LeMat-Bulk.

Cell: 6.8166 7.0156 9.5210 Å, 90.00 107.93 90.00°
With the nearest neighbours (Å) after each atom.
Sites, in units of the cell vectors:
Rb (0.7367, 0.7500, 0.9361)  8 Se 3.52-3.72
Rb (0.2633, 0.2500, 0.0639)  8 Se 3.52-3.72
Nd (0.7700, 0.7500, 0.4500)  6 Se 3.00-3.06
Nd (0.2300, 0.2500, 0.5500)  6 Se 3.00-3.06
Si (0.2149, 0.7500, 0.3262)  4 Se 2.27-2.30
Si (0.7851, 0.2500, 0.6738)  4 Se 2.27-2.30
Se (0.0076, 0.5045, 0.7129)  1 Si 2.30
Se (0.9924, 0.0045, 0.2871)  1 Si 2.30
Se (0.9924, 0.4955, 0.2871)  1 Si 2.30
Se (0.0076, 0.9955, 0.7129)  1 Si 2.30
Se (0.4105, 0.7500, 0.1721)  1 Si 2.27
Se (0.5895, 0.2500, 0.8279)  1 Si 2.27
Se (0.4100, 0.7500, 0.5689)  1 Si 2.28
Se (0.5900, 0.2500, 0.4311)  1 Si 2.28

Summary:
Symmetry: P2_1/m (11)
Formation energy from raw total energies (kJ per mole of atoms): -121

# 3
The following is a PBE-GGA calculation of a relaxed structure of HoScGaPd, from Alexandria via LeMat-Bulk.

Cell: 4.8690 4.8690 4.8690 Å, 60.00 60.00 60.00°
With the nearest neighbours (Å) after each atom.
Sites, in units of the cell vectors:
Sc (0.5000, 0.5000, 0.5000)  4 Pd 2.98, 4 Ga 2.98
Ga (0.2500, 0.2500, 0.2500)  4 Ho 2.98, 4 Sc 2.98
Ho (0.0000, 0.0000, 0.0000)  4 Pd 2.98, 4 Ga 2.98
Pd (0.7500, 0.7500, 0.7500)  4 Sc 2.98, 4 Ho 2.98

Summary:
Symmetry: F-43m (216)
E above lowest polymorph (meV per atom): 28
Energy of formation from the pure elements (eV per atom): -0.7122

# 4
The following is a PBE-GGA calculation of a relaxed structure of TcSnH2W, from Alexandria via LeMat-Bulk.

Cell: 6.5086 3.0235 8.2406 Å, 90.00 125.27 90.00°
With the nearest neighbours (Å) after each atom.
Sites, in units of the cell vectors:
Tc (0.0771, 0.0000, 0.8759)  3 H 1.71-1.91
Tc (0.0771, 0.5000, 0.3759)  3 H 1.71-1.91
Sn (0.7515, 0.0000, 0.4472)  3 W 2.86-2.91, 3 Tc 2.89-2.93, 5 H 2.93-3.04, 2 Sn 3.02
Sn (0.7515, 0.5000, 0.9472)  3 W 2.86-2.91, 3 Tc 2.89-2.93, 5 H 2.93-3.04, 2 Sn 3.02
H (0.3972, 0.0000, 0.9966)  1 Tc 1.71
H (0.3972, 0.5000, 0.4966)  1 Tc 1.71
H (0.1624, 0.0000, 0.2846)  2 Tc 1.91, 2 W 2.03
H (0.1624, 0.5000, 0.7846)  2 Tc 1.91, 2 W 2.03
W (0.2980, 0.0000, 0.7080)  3 H 2.03-2.07
W (0.2980, 0.5000, 0.2080)  3 H 2.03-2.07

Summary:
Symmetry: Cm (8)
E above lowest polymorph (meV per atom): 285

# 5
The following is a PBE-GGA calculation of a relaxed structure of K2NiBiAu, from Alexandria via LeMat-Bulk.

Cell: 6.2140 4.7771 6.2140 Å, 90.00 90.00 90.00°
With the nearest neighbours (Å) after each atom.
Sites, in units of the cell vectors:
Ni (0.0000, 0.0000, 0.0000)  2 Bi 2.39
K (0.0000, 0.0000, 0.5000)  2 Ni 3.11
K (0.5000, 0.0000, 0.0000)  2 Ni 3.11
Au (0.5000, 0.5000, 0.5000)  8 K 3.92
Bi (0.0000, 0.5000, 0.0000)  2 Ni 2.39

Summary:
Symmetry: P4/mmm (123)
Energy of formation from the pure elements (eV per atom): 0.1168

# 6
The following is a PBE-GGA calculation of a relaxed structure of Cd2IN, from Alexandria via LeMat-Bulk.

Cell: 6.2476 6.2476 6.9500 Å, 63.29 63.29 90.00°
With the nearest neighbours (Å) after each atom.
Sites, in units of the cell vectors:
I (0.0000, 0.0000, 0.0000)  4 Cd 3.25
I (0.7500, 0.2500, 0.5000)  4 Cd 3.25
N (0.5000, 0.5000, 0.0000)  4 Cd 2.15
N (0.2500, 0.7500, 0.5000)  4 Cd 2.15
Cd (0.4722, 0.1250, 0.2500)  2 N 2.15
Cd (0.2778, 0.6250, 0.2500)  2 N 2.15
Cd (0.3750, 0.5278, 0.7500)  2 N 2.15
Cd (0.8750, 0.7222, 0.7500)  2 N 2.15

Summary:
Symmetry: I-42d (122)
E above lowest polymorph (meV per atom): 0
Formation energy from raw total energies (kJ per mole of atoms): 3

# 7
The following is a PBE-GGA calculation of a relaxed structure of TaFeP2, from Alexandria via LeMat-Bulk.

Cell: 2.9850 2.9850 6.1760 Å, 90.00 90.00 103.24°
With the nearest neighbours (Å) after each atom.
Sites, in units of the cell vectors:
Fe (0.5000, 0.5000, 0.7500)  4 P 2.29
P (0.0000, 0.0000, 0.9677)  2 Fe 2.29, 2 Ta 2.54
P (0.0000, 0.0000, 0.5323)  2 Fe 2.29, 2 Ta 2.54
Ta (0.5000, 0.5000, 0.2500)  4 P 2.54

Summary:
Symmetry: Cmmm (65)
E above lowest polymorph (meV per atom): 357
Energy of formation from the pure elements (eV per atom): -0.1648

# 8
The following is a PBE-GGA calculation of a relaxed structure of ZnGaRh4, from Alexandria via LeMat-Bulk.

Cell: 4.0664 4.0673 5.8366 Å, 89.98 89.98 90.00°
With the nearest neighbours (Å) after each atom.
Sites, in units of the cell vectors:
Zn (0.5013, 0.4973, 0.9981)  8 Rh 2.51
Ga (0.0013, 0.9972, 0.4981)  8 Rh 2.50
Rh (0.5014, 0.9973, 0.2502)  2 Ga 2.50, 2 Zn 2.51
Rh (0.5012, 0.9974, 0.7461)  2 Ga 2.50, 2 Zn 2.51
Rh (0.0014, 0.4972, 0.7460)  2 Ga 2.50, 2 Zn 2.51
Rh (0.0011, 0.4973, 0.2502)  2 Ga 2.50, 2 Zn 2.51

Summary:
Symmetry: P4/mmm (123)
Energy of formation from the pure elements (eV per atom): 0.0895